Entry A
Density functional theory data (GGA-PBE) for an optimized crystal structure of CsRb2TlAu.

CIF file:
```
data_CsRb2TlAu
_symmetry_space_group_name_H-M 'P 1'
_symmetry_Int_Tables_number 1
_cell_length_a 6.786
_cell_length_b 6.786
_cell_length_c 5.961
_cell_angle_alpha 90.00
_cell_angle_beta 90.00
_cell_angle_gamma 90.00
loop_
_symmetry_equiv_pos_as_xyz
'x,y,z'
loop_
_atom_site_label
_atom_site_type_symbol
_atom_site_fract_x
_atom_site_fract_y
_atom_site_fract_z
Cs1 Cs 0.500 0.500 0.500
Tl1 Tl 0.000 0.000 0.500
Au1 Au 0.000 0.000 0.000
Rb1 Rb 0.000 0.500 0.000
Rb2 Rb 0.500 0.000 0.000
```

- N(E_F) (states/eV/atom) = 0.683
- space-group type = No. 123

=====

Entry B
Density functional theory data (GGA-PBE) for an optimized crystal structure of CsRb2TlAu.

CIF file:
```
data_CsRb2TlAu
_symmetry_space_group_name_H-M 'P 1'
_symmetry_Int_Tables_number 1
_cell_length_a 7.102
_cell_length_b 7.102
_cell_length_c 5.767
_cell_angle_alpha 90.00
_cell_angle_beta 90.00
_cell_angle_gamma 90.00
loop_
_symmetry_equiv_pos_as_xyz
'x,y,z'
loop_
_atom_site_label
_atom_site_type_symbol
_atom_site_fract_x
_atom_site_fract_y
_atom_site_fract_z
Cs1 Cs 0.500 0.500 0.500
Tl1 Tl 0.000 0.000 0.000
Au1 Au 0.000 0.000 0.500
Rb1 Rb 0.000 0.500 0.000
Rb2 Rb 0.500 0.000 0.000
```

- N(E_F) (states/eV/atom) = 0.657
- space-group type = No. 123

=====

Least stable structure: entry B

=====

Entry A
Density functional theory data (GGA-PBE) for an optimized crystal structure of CsRb2ZnAu.

CIF file:
```
data_CsRb2ZnAu
_symmetry_space_group_name_H-M 'P 1'
_symmetry_Int_Tables_number 1
_cell_length_a 6.696
_cell_length_b 6.696
_cell_length_c 6.925
_cell_angle_alpha 90.00
_cell_angle_beta 90.00
_cell_angle_gamma 90.00
loop_
_symmetry_equiv_pos_as_xyz
'x,y,z'
loop_
_atom_site_label
_atom_site_type_symbol
_atom_site_fract_x
_atom_site_fract_y
_atom_site_fract_z
Cs1 Cs 0.000 0.000 0.500
Zn1 Zn 0.500 0.500 0.500
Au1 Au 0.000 0.000 0.000
Rb1 Rb 0.000 0.500 0.000
Rb2 Rb 0.500 0.000 0.000
```

- N(E_F) (states/eV/atom) = 1.182
- space-group type = No. 123

=====

Entry B
Density functional theory data (GGA-PBE) for an optimized crystal structure of CsRb2ZnAu.

CIF file:
```
data_CsRb2ZnAu
_symmetry_space_group_name_H-M 'P 1'
_symmetry_Int_Tables_number 1
_cell_length_a 6.903
_cell_length_b 6.903
_cell_length_c 5.194
_cell_angle_alpha 90.00
_cell_angle_beta 90.00
_cell_angle_gamma 90.00
loop_
_symmetry_equiv_pos_as_xyz
'x,y,z'
loop_
_atom_site_label
_atom_site_type_symbol
_atom_site_fract_x
_atom_site_fract_y
_atom_site_fract_z
Cs1 Cs 0.500 0.500 0.500
Zn1 Zn 0.000 0.000 0.000
Au1 Au 0.000 0.000 0.500
Rb1 Rb 0.000 0.500 0.000
Rb2 Rb 0.500 0.000 0.000
```

- N(E_F) (states/eV/atom) = 0.533
- space-group type = No. 123

=====

Least stable structure: entry A

=====

Entry A
Density functional theory data (GGA-PBE) for an optimized crystal structure of CsRe3Au.

CIF file:
```
data_CsRe3Au
_symmetry_space_group_name_H-M 'P 1'
_symmetry_Int_Tables_number 1
_cell_length_a 5.156
_cell_length_b 5.156
_cell_length_c 5.156
_cell_angle_alpha 90.00
_cell_angle_beta 90.00
_cell_angle_gamma 90.00
loop_
_symmetry_equiv_pos_as_xyz
'x,y,z'
loop_
_atom_site_label
_atom_site_type_symbol
_atom_site_fract_x
_atom_site_fract_y
_atom_site_fract_z
Cs1 Cs 0.500 0.500 0.500
Re1 Re 0.000 0.500 0.000
Re2 Re 0.000 0.000 0.500
Re3 Re 0.500 0.000 0.000
Au1 Au 0.000 0.000 0.000
```

- N(E_F) (states/eV/atom) = 0.957
- space-group type = No. 221

=====

Entry B
Density functional theory data (GGA-PBE) for an optimized crystal structure of CsRe3Au.

CIF file:
```
data_CsRe3Au
_symmetry_space_group_name_H-M 'P 1'
_symmetry_Int_Tables_number 1
_cell_length_a 4.881
_cell_length_b 4.881
_cell_length_c 4.881
_cell_angle_alpha 90.00
_cell_angle_beta 90.00
_cell_angle_gamma 90.00
loop_
_symmetry_equiv_pos_as_xyz
'x,y,z'
loop_
_atom_site_label
_atom_site_type_symbol
_atom_site_fract_x
_atom_site_fract_y
_atom_site_fract_z
Cs1 Cs 0.000 0.000 0.000
Re1 Re 0.000 0.500 0.000
Re2 Re 0.000 0.000 0.500
Re3 Re 0.500 0.000 0.000
Au1 Au 0.500 0.500 0.500
```

- N(E_F) (states/eV/atom) = 1.224
- space-group type = No. 221

=====

Least stable structure: entry B

=====

Entry A
Density functional theory data (GGA-PBE) for an optimized crystal structure of CsReAu3.

CIF file:
```
data_CsReAu3
_symmetry_space_group_name_H-M 'P 1'
_symmetry_Int_Tables_number 1
_cell_length_a 5.955
_cell_length_b 5.955
_cell_length_c 5.955
_cell_angle_alpha 90.00
_cell_angle_beta 90.00
_cell_angle_gamma 90.00
loop_
_symmetry_equiv_pos_as_xyz
'x,y,z'
loop_
_atom_site_label
_atom_site_type_symbol
_atom_site_fract_x
_atom_site_fract_y
_atom_site_fract_z
Cs1 Cs 0.000 0.000 0.000
Re1 Re 0.500 0.500 0.500
Au1 Au 0.000 0.500 0.000
Au2 Au 0.000 0.000 0.500
Au3 Au 0.500 0.000 0.000
```

- N(E_F) (states/eV/atom) = 0.496
- space-group type = No. 221

=====

Entry B
Density functional theory data (GGA-PBE) for an optimized crystal structure of CsReAu3.

CIF file:
```
data_CsReAu3
_symmetry_space_group_name_H-M 'P 1'
_symmetry_Int_Tables_number 1
_cell_length_a 5.207
_cell_length_b 5.207
_cell_length_c 5.207
_cell_angle_alpha 90.00
_cell_angle_beta 90.00
_cell_angle_gamma 90.00
loop_
_symmetry_equiv_pos_as_xyz
'x,y,z'
loop_
_atom_site_label
_atom_site_type_symbol
_atom_site_fract_x
_atom_site_fract_y
_atom_site_fract_z
Cs1 Cs 0.500 0.500 0.500
Re1 Re 0.000 0.000 0.000
Au1 Au 0.000 0.500 0.000
Au2 Au 0.000 0.000 0.500
Au3 Au 0.500 0.000 0.000
```

- N(E_F) (states/eV/atom) = 0.920
- space-group type = No. 221

=====

Least stable structure: entry A

=====

Entry A
Density functional theory data (GGA-PBE) for an optimized crystal structure of CsAu2S2.

CIF file:
```
data_CsAu2S2
_symmetry_space_group_name_H-M 'P 1'
_symmetry_Int_Tables_number 1
_cell_length_a 5.039
_cell_length_b 5.039
_cell_length_c 7.063
_cell_angle_alpha 69.10
_cell_angle_beta 69.10
_cell_angle_gamma 90.00
loop_
_symmetry_equiv_pos_as_xyz
'x,y,z'
loop_
_atom_site_label
_atom_site_type_symbol
_atom_site_fract_x
_atom_site_fract_y
_atom_site_fract_z
Cs1 Cs 0.000 0.000 0.000
S1 S 0.750 0.250 0.500
S2 S 0.250 0.750 0.500
Au1 Au 0.282 0.282 0.437
Au2 Au 0.718 0.718 0.563
```

- N(E_F) (states/eV/atom) = 0.241
- space-group type = No. 139

=====

Entry B
Density functional theory data (GGA-PBE) for an optimized crystal structure of CsAu2S2.

CIF file:
```
data_CsAu2S2
_symmetry_space_group_name_H-M 'P 1'
_symmetry_Int_Tables_number 1
_cell_length_a 4.404
_cell_length_b 4.404
_cell_length_c 7.454
_cell_angle_alpha 72.82
_cell_angle_beta 72.82
_cell_angle_gamma 90.00
loop_
_symmetry_equiv_pos_as_xyz
'x,y,z'
loop_
_atom_site_label
_atom_site_type_symbol
_atom_site_fract_x
_atom_site_fract_y
_atom_site_fract_z
Cs1 Cs 0.000 0.000 0.000
S1 S 0.353 0.353 0.294
S2 S 0.647 0.647 0.706
Au1 Au 0.750 0.250 0.500
Au2 Au 0.250 0.750 0.500
```

- N(E_F) (states/eV/atom) = 0.784
- space-group type = No. 139

=====

Least stable structure: entry B